First-principles (PBE-GGA) data for a geometry-optimized NbTe2F2 structure, as listed in the Alexandria database.

Structure (POSCAR):
```
NbTe2F2
1.0
-0.2712 2.0567 5.4943
-5.8544 0.2609 -0.3866
-3.2633 -1.7447 3.6308
F Te Nb
2 2 1
direct
0.6872 0.6872 0.6256
0.3128 0.3128 0.3744
0.2500 0.7500 0.5000
0.7500 0.2500 0.5000
0.0000 0.0000 0.0000
```

Computed properties:
- SG: No. 139
- Raw total energy: -4.835 eV/atom

First-principles (PBE-GGA) data for a geometry-optimized Si3Mo2 structure, as listed in the Alexandria database.

Structure (POSCAR):
```
Si3Mo2
1.0
9.7255 -1.4821 -0.0052
9.7255 1.4821 -0.0052
9.5010 0.0000 2.5520
Si Mo
3 2
direct
0.7997 0.7997 0.7997
0.0000 0.0000 0.0000
0.2003 0.2003 0.2003
0.4009 0.4009 0.4009
0.5991 0.5991 0.5991
```

Computed properties:
- SG: No. 166
- Raw total energy: -7.588 eV/atom

First-principles (PBE-GGA) data for a geometry-optimized Li5Ac2Cd12 structure, as listed in the Alexandria database.

Structure (POSCAR):
```
Li5Ac2Cd12
1.0
-3.8728 6.5283 0.5643
-6.5827 -2.5620 -2.8353
-3.3794 -1.4823 6.6572
Li Cd Ac
5 12 2
direct
0.0000 0.0000 0.5000
0.9023 0.9023 0.9023
0.0000 0.5000 0.0000
0.5000 0.0000 0.0000
0.0977 0.0977 0.0977
0.2907 0.0000 0.7093
0.3444 0.3444 0.8624
0.3444 0.8624 0.3444
0.2907 0.7093 0.0000
0.6556 0.6556 0.1376
0.7093 0.0000 0.2907
0.7093 0.2907 0.0000
0.6556 0.1376 0.6556
0.1376 0.6556 0.6556
0.0000 0.2907 0.7093
0.8624 0.3444 0.3444
0.0000 0.7093 0.2907
0.3469 0.3469 0.3469
0.6531 0.6531 0.6531
```

Computed properties:
- SG: No. 166
- Raw total energy: -1.781 eV/atom
- ΔE_f: -6.15 kcal/mol of atoms

First-principles (PBE-GGA) data for a geometry-optimized CaHf2TaTc structure, as listed in the Alexandria database.

Structure (POSCAR):
```
CaHf2TaTc
1.0
4.8326 0.0000 0.0000
0.0000 4.5865 0.0000
0.0000 0.0000 4.8326
Hf Ca Ta Tc
2 1 1 1
direct
0.5000 0.0000 0.0000
0.0000 0.0000 0.5000
0.0000 0.0000 0.0000
0.0000 0.5000 0.0000
0.5000 0.5000 0.5000
```

Computed properties:
- SG: No. 123
- Raw total energy: -6.477 eV/atom
- ΔE_f: 54.15 kcal/mol of atoms

First-principles (PBE-GGA) data for a geometry-optimized HfScAg structure, as listed in the Alexandria database.

Structure (POSCAR):
```
HfScAg
1.0
-1.4052 -0.7546 6.2479
0.7773 -4.6191 -0.3831
8.1611 1.2090 1.9815
Ag Hf Sc
4 4 4
direct
0.7254 0.2500 0.3891
0.2746 0.7500 0.6109
0.7746 0.7500 0.8891
0.2254 0.2500 0.1109
0.6563 0.2500 0.0648
0.8437 0.7500 0.5648
0.3437 0.7500 0.9352
0.1563 0.2500 0.4352
0.0273 0.2500 0.8012
0.9727 0.7500 0.1988
0.4727 0.7500 0.3012
0.5273 0.2500 0.6988
```

Computed properties:
- SG: No. 62
- Raw total energy: -6.376 eV/atom
- ΔE_f: 0.07 kcal/mol of atoms

First-principles (PBE-GGA) data for a geometry-optimized ZnCuRe2 structure, as listed in the Alexandria database.

Structure (POSCAR):
```
ZnCuRe2
1.0
-2.5695 0.2234 0.2434
-0.4355 -0.5055 -4.1335
-0.3865 -5.1798 0.6742
Zn Re Cu
1 2 1
direct
0.5000 0.5000 0.2500
0.0000 0.0000 0.4996
0.0000 0.0000 0.0004
0.5000 0.5000 0.7500
```

Computed properties:
- SG: No. 47
- Raw total energy: -7.157 eV/atom
- ΔE_f: 9.44 kcal/mol of atoms

First-principles (PBE-GGA) data for a geometry-optimized YCrBr structure, as listed in the Alexandria database.

Structure (POSCAR):
```
YCrBr
1.0
-3.2550 -2.7750 -2.1683
0.8585 -4.6793 -0.6032
-2.4645 -3.2368 2.5391
Br Cr Y
1 1 1
direct
0.7500 0.7500 0.7500
0.0000 0.0000 0.0000
0.5000 0.5000 0.5000
```

Computed properties:
- SG: No. 216
- Raw total energy: -5.552 eV/atom

First-principles (PBE-GGA) data for a geometry-optimized SrY3Ge structure, as listed in the Alexandria database.

Structure (POSCAR):
```
SrY3Ge
1.0
5.5796 0.0000 0.0000
0.0000 5.5796 0.0000
0.0000 0.0000 5.5796
Y Ge Sr
3 1 1
direct
0.0000 0.5000 0.0000
0.0000 0.0000 0.5000
0.5000 0.0000 0.0000
0.5000 0.5000 0.5000
0.0000 0.0000 0.0000
```

Computed properties:
- SG: No. 221
- Raw total energy: -3.863 eV/atom
- ΔE_f: 29.40 kcal/mol of atoms